[1]
Below is Np2AuN after structural relaxation, with properties calculated at the GGA-PBE level.

```
data_Np2AuN
_chemical_formula_sum 'Np2 Au1 N1'
_cell_length_a 3.053
_cell_length_b 3.053
_cell_length_c 7.524
_cell_angle_alpha 90.00
_cell_angle_beta 90.00
_cell_angle_gamma 90.00
_space_group_name_H-M_alt 'P 4/m m m'
_space_group_IT_number 123
_space_group_name_Hall '-P 4 2'
loop_
_atom_site_label
_atom_site_type_symbol
_atom_site_fract_x
_atom_site_fract_y
_atom_site_fract_z
_atom_site_occupancy
Np1 Np 0.000 0.000 0.187 1
Au1 Au 0.500 0.500 0.500 1
N1 N 0.500 0.500 0.000 1
```

Properties
Size of the total moment = 7.87 Bohr magnetons per cell
V = 17.5 A^3/atom
DFT total energy = -9.59 eV per atom

[2]
Below is Na2CdC after structural relaxation, with properties calculated at the GGA-PBE level.

```
data_Na2CdC
_chemical_formula_sum 'Na8 Cd4 C4'
_cell_length_a 10.323
_cell_length_b 10.323
_cell_length_c 4.164
_cell_angle_alpha 90.00
_cell_angle_beta 90.00
_cell_angle_gamma 90.00
_space_group_name_H-M_alt 'I -4 2 d'
_space_group_IT_number 122
_space_group_name_Hall 'I -4 2bw'
loop_
_atom_site_label
_atom_site_type_symbol
_atom_site_fract_x
_atom_site_fract_y
_atom_site_fract_z
_atom_site_occupancy
Na1 Na 0.022 0.250 0.125 1
Cd1 Cd 0.000 0.000 0.500 1
C1 C 0.000 0.000 0.000 1
```

Properties
Energy relative to the lowest polymorph listed for this composition = 0.0000 eV per atom
Size of the total moment = 0.00 Bohr magnetons per cell
ΔE_f = 16.3 kcal/mol of atoms
V = 27.7 A^3/atom
DFT total energy = -2.49 eV per atom